Entry 1
Computed, not measured: a relaxed Ta3MoRh crystal at the PBE level of DFT.

a = 4.7417 Å, b = 4.7417 Å, c = 4.7417 Å
α = 90.00°, β = 90.00°, γ = 90.00°
Last column: nearest neighbours and their distance in Å.
Space group Pm-3m (No. 221)
Unique sites:
1 Ta 0.0000 0.0000 0.5000 (multiplicity 3)  2 Rh 2.37
2 Mo 0.5000 0.5000 0.5000 (multiplicity 1)  12 Ta 3.35
3 Rh 0.0000 0.0000 0.0000 (multiplicity 1)  6 Ta 2.37



Entry 2
Computed, not measured: a relaxed Ta3MoRh crystal at the PBE level of DFT.

a = 4.7559 Å, b = 4.7559 Å, c = 4.7559 Å
α = 90.00°, β = 90.00°, γ = 90.00°
Last column: nearest neighbours and their distance in Å.
Space group Pm-3m (No. 221)
Unique sites:
1 Ta 0.0000 0.0000 0.5000 (multiplicity 3)  2 Mo 2.38
2 Mo 0.0000 0.0000 0.0000 (multiplicity 1)  6 Ta 2.38
3 Rh 0.5000 0.5000 0.5000 (multiplicity 1)  12 Ta 3.36



How do the structures above rank in stability at the extremes? entry 1 comes first and entry 2 comes last.